(1)
Here is a relaxed La2HoTh crystal from Alexandria. Energies are from PBE.

a b c (Å): 11.838 3.547 13.088
angles (deg): 90.00 90.00 90.00
Atoms (fractional coordinates):
1 La 0.230 0.250 0.247
2 La 0.249 0.750 0.002
3 La 0.251 0.250 0.502
4 La 0.270 0.750 0.747
5 La 0.730 0.250 0.253
6 La 0.749 0.750 0.498
7 La 0.751 0.250 0.998
8 La 0.770 0.750 0.753
9 Ho 0.019 0.250 0.865
10 Ho 0.481 0.750 0.365
11 Ho 0.519 0.250 0.635
12 Ho 0.981 0.750 0.135
13 Th 0.019 0.750 0.613
14 Th 0.481 0.250 0.113
15 Th 0.519 0.750 0.887
16 Th 0.981 0.250 0.387

## Properties
As for the space group: Pnma. The total magnetization comes out at 0.00 μB/cell. The total energy comes out at -5.329 eV/atom. The formation enthalpy at 0 K is 0.134 eV/atom.

(2)
Here is a relaxed MgTlI3 crystal from Alexandria. Energies are from PBE.

a b c (Å): 5.800 5.800 5.800
angles (deg): 90.00 90.00 90.00
Atoms (fractional coordinates):
1 Mg 0.000 0.000 0.000
2 Tl 0.500 0.500 0.500
3 I 0.000 0.000 0.500
4 I 0.000 0.500 0.000
5 I 0.500 0.000 0.000

## Properties
As for the space group: Pm-3m. For the formation energy from raw total energies, the calculation gives -773 meV/atom. The total magnetization comes out at 0.00 μB/cell. The total energy comes out at -2.495 eV/atom.